Run w
A plane-wave DFT calculation with GGA-PBE was carried out for a relaxed structure of BaCaAs2.

a = 7.564 Å, b = 7.564 Å, c = 7.564 Å
α = 90.00°, β = 90.00°, γ = 90.00°
Space group F-43m (No. 216)
Unique sites:
1 Ba 0.000 0.000 0.000
2 Ca 0.250 0.250 0.250
3 As 0.000 0.000 0.500
4 As 0.250 0.250 0.750

Summary:
ρ   5.02 g/cm3

---

Run x
A plane-wave DFT calculation with GGA-PBE was carried out for a relaxed structure of BaCaAs2.

a = 3.645 Å, b = 3.645 Å, c = 8.351 Å
α = 90.00°, β = 90.00°, γ = 90.00°
Space group P4/mmm (No. 123)
Unique sites:
1 Ba 0.000 0.000 0.000
2 Ca 0.000 0.000 0.500
3 As 0.500 0.500 0.273

Summary:
ρ   4.90 g/cm3

---

Stability, lowest: run w

---

Run w
A plane-wave DFT calculation with GGA-PBE was carried out for a relaxed structure of BaCaAs2.

a = 7.855 Å, b = 8.358 Å, c = 3.447 Å
α = 90.00°, β = 90.00°, γ = 90.00°
Space group Cmmm (No. 65)
Unique sites:
1 Ba 0.000 0.000 0.000
2 Ca 0.000 0.500 0.000
3 As 0.250 0.250 0.500

Summary:
ρ   4.80 g/cm3

---

Run x
A plane-wave DFT calculation with GGA-PBE was carried out for a relaxed structure of BaCaAs2.

a = 4.043 Å, b = 4.506 Å, c = 13.547 Å
α = 90.00°, β = 90.00°, γ = 90.00°
Space group Imm2 (No. 44)
Unique sites:
1 Ba 0.000 0.000 0.000
2 Ca 0.000 0.500 0.249
3 As 0.000 0.000 0.399
4 As 0.000 0.500 0.730

Summary:
ρ   4.40 g/cm3

---

Stability, lowest: run x

---

Run w
A plane-wave DFT calculation with GGA-PBE was carried out for a relaxed structure of BaCaGaAs2.

a = 5.376 Å, b = 5.376 Å, c = 6.124 Å
α = 90.00°, β = 90.00°, γ = 90.00°
Space group P4/mmm (No. 123)
Unique sites:
1 Ba 0.000 0.000 0.000
2 Ca 0.000 0.000 0.500
3 Ga 0.500 0.500 0.000
4 As 0.000 0.500 0.500

Summary:
ρ   3.72 g/cm3

---

Run x
A plane-wave DFT calculation with GGA-PBE was carried out for a relaxed structure of BaCaGaAs2.

a = 7.534 Å, b = 5.430 Å, c = 7.933 Å
α = 90.00°, β = 105.35°, γ = 90.00°
Space group P2/c (No. 13)
Unique sites:
1 Ba 0.000 0.216 0.250
2 Ca 0.500 0.482 0.750
3 Ga 0.500 0.000 0.000
4 As 0.244 0.268 0.944

Summary:
ρ   4.21 g/cm3

---

Stability, lowest: run w

---

Run w
A plane-wave DFT calculation with GGA-PBE was carried out for a relaxed structure of BaCaZnAs2.

a = 7.632 Å, b = 5.250 Å, c = 8.162 Å
α = 90.00°, β = 103.63°, γ = 90.00°
Space group P2/c (No. 13)
Unique sites:
1 Ba 0.000 0.214 0.250
2 Ca 0.500 0.473 0.750
3 Zn 0.500 0.000 0.000
4 As 0.251 0.271 0.959

Summary:
ρ   4.10 g/cm3

---

Run x
A plane-wave DFT calculation with GGA-PBE was carried out for a relaxed structure of BaCaZnAs2.

a = 5.225 Å, b = 5.225 Å, c = 5.393 Å
α = 90.00°, β = 90.00°, γ = 90.00°
Space group P4/mmm (No. 123)
Unique sites:
1 Ba 0.000 0.000 0.000
2 Ca 0.500 0.500 0.000
3 Zn 0.000 0.000 0.500
4 As 0.000 0.500 0.500

Summary:
ρ   4.43 g/cm3

---

Stability, lowest: run x

---

Run w
A plane-wave DFT calculation with GGA-PBE was carried out for a relaxed structure of Ba2Cd2As.

a = 4.154 Å, b = 4.154 Å, c = 20.399 Å
α = 90.00°, β = 90.00°, γ = 90.00°
Space group I4/mmm (No. 139)
Unique sites:
1 Ba 0.000 0.000 0.085
2 Cd 0.000 0.500 0.250
3 As 0.000 0.000 0.500

Summary:
ρ   5.42 g/cm3

---

Run x
A plane-wave DFT calculation with GGA-PBE was carried out for a relaxed structure of Ba2Cd2As.

a = 8.175 Å, b = 8.175 Å, c = 5.091 Å
α = 90.00°, β = 90.00°, γ = 90.00°
Space group P4/mbm (No. 127)
Unique sites:
1 Ba 0.184 0.316 0.000
2 Cd 0.124 0.624 0.500
3 As 0.000 0.000 0.500

Summary:
ρ   5.61 g/cm3

---

Stability, lowest: run x

---

Run w
A plane-wave DFT calculation with GGA-PBE was carried out for a relaxed structure of Ba2CdAs.

a = 8.154 Å, b = 8.154 Å, c = 8.154 Å
α = 90.00°, β = 90.00°, γ = 90.00°
Space group F-43m (No. 216)
Unique sites:
1 Ba 0.000 0.000 0.000
2 Ba 0.250 0.250 0.250
3 Cd 0.000 0.000 0.500
4 As 0.250 0.250 0.750

Summary:
ρ   5.66 g/cm3

---

Run x
A plane-wave DFT calculation with GGA-PBE was carried out for a relaxed structure of Ba2CdAs.

a = 4.921 Å, b = 4.921 Å, c = 6.849 Å
α = 90.00°, β = 90.00°, γ = 90.00°
Space group P4mm (No. 99)
Unique sites:
1 Ba 0.000 0.000 0.000
2 Ba 0.500 0.500 0.497
3 Cd 0.000 0.000 0.501
4 As 0.500 0.500 0.997

Summary:
ρ   4.63 g/cm3

---

Run y
A plane-wave DFT calculation with GGA-PBE was carried out for a relaxed structure of Ba2CdAs.

a = 4.177 Å, b = 4.177 Å, c = 8.164 Å
α = 90.00°, β = 90.00°, γ = 90.00°
Space group P4/mmm (No. 123)
Unique sites:
1 Ba 0.000 0.000 0.212
2 Cd 0.500 0.500 0.500
3 As 0.500 0.500 0.000

Summary:
ρ   5.39 g/cm3

---

Run z
A plane-wave DFT calculation with GGA-PBE was carried out for a relaxed structure of Ba2CdAs.

a = 4.8582 Å, b = 4.8582 Å, c = 25.0917 Å
α = 90.00°, β = 90.00°, γ = 120.00°
Space group R3m (No. 160, hexagonal axes)
Unique sites:
1 Ba 0.0000 0.0000 0.0000
2 Ba 0.0000 0.0000 0.1973
3 Cd 0.0000 0.0000 0.7626
4 As 0.0000 0.0000 0.6011

Summary:
ρ   4.49 g/cm3

---

Stability, lowest: run w